NiHgOs2: optimized geometry, GGA-PBE.

## Properties
Formation energy: 0.41 eV/atom
Energy: -6.721 eV/atom

Unit cell a=2.790 b=2.790 c=27.161 alpha=90.00 beta=90.00 gamma=120.00
Element x y z (fractional)
1 Ni 0.000 0.000 0.000
2 Ni 0.333 0.667 0.667
3 Ni 0.667 0.333 0.333
4 Hg 0.000 0.000 0.248
5 Hg 0.333 0.667 0.915
6 Hg 0.667 0.333 0.582
7 Os 0.000 0.000 0.486
8 Os 0.000 0.000 0.742
9 Os 0.333 0.667 0.153
10 Os 0.333 0.667 0.409
11 Os 0.667 0.333 0.076
12 Os 0.667 0.333 0.819